(1)
A geometry-optimized Tb2TmTl structure. Source: Alexandria via LeMat-Bulk, functional PBE-GGA.

Summary:
The value obtained for the energy relative to the lowest polymorph listed for this composition is 0.08 eV/f.u. Its density is 9.7 g cm⁻³. The spin magnetization comes out at 0.0 μB/cell. Its volume is 118.9 Å³/f.u. As for the symmetry: Cmcm (63).

Unit cell a=6.632 b=6.632 c=10.276 alpha=90.00 beta=90.00 gamma=148.26
Atoms (fractional coordinates):
Tb: 0.129 0.871 0.534
Tb: 0.129 0.871 0.966
Tb: 0.871 0.129 0.034
Tb: 0.871 0.129 0.466
Tm: 0.460 0.540 0.750
Tm: 0.540 0.460 0.250
Tl: 0.252 0.748 0.250
Tl: 0.748 0.252 0.750

=====

(2)
A geometry-optimized LiNb3Tc structure. Source: Alexandria via LeMat-Bulk, functional PBE-GGA.

Summary:
The value obtained for the energy relative to the lowest polymorph listed for this composition is 0.85 eV/f.u. Its density is 7.6 g cm⁻³. The spin magnetization comes out at 0.0 μB/cell. Its volume is 83.7 Å³/f.u. As for the symmetry: Pm-3m (221).

Unit cell a=4.374 b=4.374 c=4.374 alpha=90.00 beta=90.00 gamma=90.00
Atoms (fractional coordinates):
Li: 0.000 0.000 0.000
Nb: 0.000 0.000 0.500
Nb: 0.000 0.500 0.000
Nb: 0.500 0.000 0.000
Tc: 0.500 0.500 0.500

=====

(3)
A geometry-optimized Ce2ThCr2C4 structure. Source: Alexandria via LeMat-Bulk, functional PBE-GGA.

Summary:
Its density is 8.3 g cm⁻³. The calculation puts the total energy at -8.462 eV per atom. The spin magnetization comes out at 0.0 μB/cell. Its volume is 133.4 Å³/f.u. As for the symmetry: C2/m (12).

Unit cell a=6.927 b=6.927 c=6.135 alpha=109.32 beta=109.32 gamma=28.83
Atoms (fractional coordinates):
Ce: 0.136 0.136 0.039
Ce: 0.864 0.864 0.961
Th: 0.000 0.000 0.500
Cr: 0.314 0.314 0.502
Cr: 0.686 0.686 0.498
C: 0.222 0.222 0.695
C: 0.447 0.447 0.748
C: 0.553 0.553 0.252
C: 0.778 0.778 0.305

=====

(4)
A geometry-optimized Cs3TlSe2 structure. Source: Alexandria via LeMat-Bulk, functional PBE-GGA.

Summary:
Its density is 4.1 g cm⁻³. The calculation puts the uncorrected formation energy at -0.8215 eV per atom. The spin magnetization comes out at 0.0 μB/cell. Its volume is 310.0 Å³/f.u. As for the symmetry: Ibam (72).

Unit cell a=10.358 b=10.358 c=10.358 alpha=131.70 beta=71.91 gamma=130.19
Atoms (fractional coordinates):
Cs: 0.009 0.750 0.259
Cs: 0.250 0.250 0.000
Cs: 0.491 0.750 0.741
Cs: 0.509 0.250 0.259
Cs: 0.750 0.750 0.000
Cs: 0.991 0.250 0.741
Tl: 0.000 0.500 0.500
Tl: 0.500 0.000 0.500
Se: 0.129 0.238 0.366
Se: 0.371 0.738 0.109
Se: 0.629 0.262 0.891
Se: 0.871 0.762 0.634